A plane-wave DFT calculation with PBE was carried out for a relaxed structure of Ba2ZrAu.

It has space group P4mm (No. 99), with a = 3.7915 Å, b = 3.7915 Å, c = 10.0961 Å, α = 90.00°, β = 90.00° and γ = 90.00°. The inequivalent atoms are Ba at (0.0000, 0.0000, 0.0000), Ba at (0.5000, 0.5000, 0.3858), Zr at (0.0000, 0.0000, 0.6551) and Au at (0.5000, 0.5000, 0.7639).

The raw total energy comes out at -3.972 eV per atom. For the magnetization, the calculation gives 1.8 μB/f.u. As for the calculated density: 6.4 g/cm3.

A plane-wave DFT calculation with PBE was carried out for a relaxed structure of VCuSe4.

It has space group C2/c (No. 15), with a = 6.1125 Å, b = 16.5914 Å, c = 6.2116 Å, α = 90.00°, β = 118.65° and γ = 90.00°. The inequivalent atoms are V at (0.0000, 0.0791, 0.2500), Cu at (0.0000, 0.4302, 0.7500), Se at (0.2371, 0.0486, 0.7070) and Se at (0.2490, 0.3178, 0.7568).

The raw total energy comes out at -4.788 eV per atom. For the magnetization, the calculation gives 0.0 μB/f.u. As for the calculated density: 5.2 g/cm3.

A plane-wave DFT calculation with PBE was carried out for a relaxed structure of NiAgW.

It has space group F-43m (No. 216), with a = 5.9923 Å, b = 5.9923 Å, c = 5.9923 Å, α = 90.00°, β = 90.00° and γ = 90.00°. The inequivalent atoms are Ni at (0.0000, 0.0000, 0.0000), Ag at (0.0000, 0.0000, 0.5000) and W at (0.2500, 0.2500, 0.2500).

The raw total energy comes out at -5.929 eV per atom. For the magnetization, the calculation gives 0.4 μB/f.u. As for the calculated density: 10.8 g/cm3.

A plane-wave DFT calculation with PBE was carried out for a relaxed structure of Zn2NiTe.

It has space group P4/mmm (No. 123), with a = 3.8816 Å, b = 3.8816 Å, c = 4.5057 Å, α = 90.00°, β = 90.00° and γ = 90.00°. The inequivalent atoms are Zn at (0.0000, 0.5000, 0.0000), Ni at (0.0000, 0.0000, 0.5000) and Te at (0.5000, 0.5000, 0.5000).

The raw total energy comes out at -2.691 eV per atom. For the magnetization, the calculation gives 0.0 μB/f.u. As for the calculated density: 7.8 g/cm3.

A plane-wave DFT calculation with PBE was carried out for a relaxed structure of KCdH2.

It has space group P2_1/m (No. 11), with a = 6.5575 Å, b = 3.6264 Å, c = 7.7166 Å, α = 90.00°, β = 110.34° and γ = 90.00°. The inequivalent atoms are K at (0.2307, 0.2500, 0.2816), Cd at (0.3581, 0.2500, 0.8520), H at (0.0669, 0.2500, 0.8122) and H at (0.4286, 0.2500, 0.6407).

The raw total energy comes out at -2.236 eV per atom. For the magnetization, the calculation gives 0.0 μB/f.u. As for the calculated density: 3.0 g/cm3.

A plane-wave DFT calculation with PBE was carried out for a relaxed structure of Hf2VGa3.

It has space group C2/c (No. 15), with a = 14.1959 Å, b = 5.5156 Å, c = 5.3813 Å, α = 90.00°, β = 98.73° and γ = 90.00°. The inequivalent atoms are Hf at (0.1666, 0.1275, 0.1022), V at (0.0000, 0.3749, 0.2500), Ga at (0.0000, 0.1278, 0.7500) and Ga at (0.1552, 0.3750, 0.5895).

The raw total energy comes out at -6.634 eV per atom. For the magnetization, the calculation gives 0.4 μB/f.u. As for the calculated density: 9.8 g/cm3.

A plane-wave DFT calculation with PBE was carried out for a relaxed structure of CsCeSb2Pt2.

It has space group P-3m1 (No. 164), with a = 4.4681 Å, b = 4.4681 Å, c = 10.4768 Å, α = 90.00°, β = 90.00° and γ = 120.00°. The inequivalent atoms are Cs at (0.0000, 0.0000, 0.0000), Ce at (0.0000, 0.0000, 0.5000), Sb at (0.3333, 0.6667, 0.7222) and Pt at (0.3333, 0.6667, 0.3378).

The raw total energy comes out at -5.331 eV per atom. For the magnetization, the calculation gives 0.1 μB/f.u. As for the calculated density: 8.3 g/cm3.

A plane-wave DFT calculation with PBE was carried out for a relaxed structure of BaSmPb2.

It has space group P4/mmm (No. 123), with a = 4.2260 Å, b = 4.2260 Å, c = 7.7570 Å, α = 90.00°, β = 90.00° and γ = 90.00°. The inequivalent atoms are Ba at (0.0000, 0.0000, 0.0000), Sm at (0.0000, 0.0000, 0.5000) and Pb at (0.5000, 0.5000, 0.2926).

The raw total energy comes out at -4.016 eV per atom. For the magnetization, the calculation gives 0.0 μB/f.u. As for the calculated density: 8.4 g/cm3.

A plane-wave DFT calculation with PBE was carried out for a relaxed structure of ZnCr2Ge2.

It has space group P4/mbm (No. 127), with a = 7.1780 Å, b = 7.1780 Å, c = 2.8746 Å, α = 90.00°, β = 90.00° and γ = 90.00°. The inequivalent atoms are Zn at (0.0000, 0.0000, 0.0000), Cr at (0.1450, 0.3550, 0.5000) and Ge at (0.1508, 0.6508, 0.0000).

The raw total energy comes out at -5.782 eV per atom. For the magnetization, the calculation gives 4.2 μB/f.u. As for the calculated density: 7.1 g/cm3.

A plane-wave DFT calculation with PBE was carried out for a relaxed structure of FeCo3.

It has space group P-1 (No. 2), with a = 4.6752 Å, b = 4.6759 Å, c = 4.6947 Å, α = 116.97°, β = 94.85° and γ = 95.69°. The inequivalent atoms are Fe at (0.1254, 0.3170, 0.0646), Co at (0.1270, 0.8129, 0.5675), Co at (0.3677, 0.9492, 0.1885) and Co at (0.3807, 0.4353, 0.6948).

The raw total energy comes out at -7.422 eV per atom. For the magnetization, the calculation gives 7.9 μB/f.u. As for the calculated density: 8.6 g/cm3.

A plane-wave DFT calculation with PBE was carried out for a relaxed structure of PuHgPb2.

It has space group P4/mmm (No. 123), with a = 3.9685 Å, b = 3.9685 Å, c = 7.1588 Å, α = 90.00°, β = 90.00° and γ = 90.00°. The inequivalent atoms are Pu at (0.0000, 0.0000, 0.0000), Hg at (0.0000, 0.0000, 0.5000) and Pb at (0.5000, 0.5000, 0.2713).

The raw total energy comes out at -5.482 eV per atom. For the magnetization, the calculation gives 6.3 μB/f.u. As for the calculated density: 12.7 g/cm3.

A plane-wave DFT calculation with PBE was carried out for a relaxed structure of CdPb2W.

It has space group I-4m2 (No. 119), with a = 4.3504 Å, b = 4.3504 Å, c = 9.7886 Å, α = 90.00°, β = 90.00° and γ = 90.00°. The inequivalent atoms are Cd at (0.0000, 0.0000, 0.0000), Pb at (0.0000, 0.0000, 0.5000), Pb at (0.0000, 0.5000, 0.7500) and W at (0.0000, 0.5000, 0.2500).

The raw total energy comes out at -4.385 eV per atom. For the magnetization, the calculation gives 1.2 μB/f.u. As for the calculated density: 12.7 g/cm3.